No. 1
# FeHgRu2 (PBE, relaxed)
# formation energy from the elements = 365.1 meV/atom
# crystal system = orthorhombic
data_FeHgRu2
_cell_length_a 2.8260
_cell_length_b 3.7856
_cell_length_c 5.7435
_cell_angle_alpha 90.00
_cell_angle_beta 90.00
_cell_angle_gamma 90.00
_symmetry_space_group_name_H-M 'P m m 2'
_symmetry_Int_Tables_number 25
_symmetry_space_group_name_Hall 'P 2 -2'
loop_
_atom_site_label
_atom_site_type_symbol
_atom_site_fract_x
_atom_site_fract_y
_atom_site_fract_z
Fe1 Fe 0.0000 0.0000 0.0000
Hg1 Hg 0.5000 0.5000 0.2706
Ru1 Ru 0.0000 0.0000 0.5722
Ru2 Ru 0.5000 0.5000 0.7721

No. 2
# BaCdRu3 (PBE, relaxed)
# formation energy from the elements = 1585.3 meV/atom
# distance to the lowest polymorph of the same formula = 0 kJ/mol of formula units
# crystal system = cubic
data_BaCdRu3
_cell_length_a 5.0642
_cell_length_b 5.0642
_cell_length_c 5.0642
_cell_angle_alpha 90.00
_cell_angle_beta 90.00
_cell_angle_gamma 90.00
_symmetry_space_group_name_H-M 'P m -3 m'
_symmetry_Int_Tables_number 221
_symmetry_space_group_name_Hall '-P 4 2 3'
loop_
_atom_site_label
_atom_site_type_symbol
_atom_site_fract_x
_atom_site_fract_y
_atom_site_fract_z
Ba1 Ba 0.0000 0.0000 0.0000
Cd1 Cd 0.5000 0.5000 0.5000
Ru1 Ru 0.0000 0.5000 0.5000

No. 3
# AgSn2Rh (PBE, relaxed)
# formation energy from the elements = -80.9 meV/atom
# distance to the lowest polymorph of the same formula = 3 kJ/mol of formula units
# crystal system = trigonal
data_AgSn2Rh
_cell_length_a 3.2576
_cell_length_b 3.2576
_cell_length_c 28.2607
_cell_angle_alpha 90.00
_cell_angle_beta 90.00
_cell_angle_gamma 120.00
_symmetry_space_group_name_H-M 'R -3 m'
_symmetry_Int_Tables_number 166
_symmetry_space_group_name_Hall '-R 3 2"'
loop_
_atom_site_label
_atom_site_type_symbol
_atom_site_fract_x
_atom_site_fract_y
_atom_site_fract_z
Ag1 Ag 0.0000 0.0000 0.0000
Sn1 Sn 0.0000 0.0000 0.0964
Rh1 Rh 0.0000 0.0000 0.5000

No. 4
# H2RuPtAu (PBE, relaxed)
# VASP energy = -22.02 eV per formula unit
# crystal system = tetragonal
data_H2RuPtAu
_cell_length_a 3.6390
_cell_length_b 3.6390
_cell_length_c 5.2385
_cell_angle_alpha 90.00
_cell_angle_beta 90.00
_cell_angle_gamma 90.00
_symmetry_space_group_name_H-M 'P 4/m m m'
_symmetry_Int_Tables_number 123
_symmetry_space_group_name_Hall '-P 4 2'
loop_
_atom_site_label
_atom_site_type_symbol
_atom_site_fract_x
_atom_site_fract_y
_atom_site_fract_z
H1 H 0.0000 0.5000 0.0000
Ru1 Ru 0.0000 0.0000 0.5000
Pt1 Pt 0.0000 0.0000 0.0000
Au1 Au 0.5000 0.5000 0.5000

No. 5
# Sm12Tm2Sc5 (PBE, relaxed)
# formation energy from the elements = 191.1 meV/atom
# crystal system = monoclinic
data_Sm12Tm2Sc5
_cell_length_a 16.8750
_cell_length_b 6.9073
_cell_length_c 10.7335
_cell_angle_alpha 90.00
_cell_angle_beta 104.63
_cell_angle_gamma 90.00
_symmetry_space_group_name_H-M 'C 1 2/m 1'
_symmetry_Int_Tables_number 12
_symmetry_space_group_name_Hall '-C 2y'
loop_
_atom_site_label
_atom_site_type_symbol
_atom_site_fract_x
_atom_site_fract_y
_atom_site_fract_z
Sm1 Sm 0.0733 0.0000 0.3217
Sm2 Sm 0.1053 0.5000 0.8190
Sm3 Sm 0.1849 0.2563 0.5910
Sm4 Sm 0.1989 0.2416 0.1144
Tm1 Tm 0.0000 0.2387 0.0000
Sc1 Sc 0.0000 0.5000 0.5000
Sc2 Sc 0.1110 0.5000 0.2984
Sc3 Sc 0.1233 0.0000 0.8336

No. 6
# GeSb2W (PBE, relaxed)
# formation energy from raw total energies = 0.847 eV per atom
# crystal system = trigonal
data_GeSb2W
_cell_length_a 3.0161
_cell_length_b 3.0161
_cell_length_c 34.3841
_cell_angle_alpha 90.00
_cell_angle_beta 90.00
_cell_angle_gamma 120.00
_symmetry_space_group_name_H-M 'R -3 m'
_symmetry_Int_Tables_number 166
_symmetry_space_group_name_Hall '-R 3 2"'
loop_
_atom_site_label
_atom_site_type_symbol
_atom_site_fract_x
_atom_site_fract_y
_atom_site_fract_z
Ge1 Ge 0.0000 0.0000 0.0000
Sb1 Sb 0.0000 0.0000 0.4174
W1 W 0.0000 0.0000 0.5000

Please write out number 4 again, unchanged.
# H2RuPtAu (PBE, relaxed)
# VASP energy = -22.02 eV per formula unit
# crystal system = tetragonal
data_H2RuPtAu
_cell_length_a 3.6390
_cell_length_b 3.6390
_cell_length_c 5.2385
_cell_angle_alpha 90.00
_cell_angle_beta 90.00
_cell_angle_gamma 90.00
_symmetry_space_group_name_H-M 'P 4/m m m'
_symmetry_Int_Tables_number 123
_symmetry_space_group_name_Hall '-P 4 2'
loop_
_atom_site_label
_atom_site_type_symbol
_atom_site_fract_x
_atom_site_fract_y
_atom_site_fract_z
H1 H 0.0000 0.5000 0.0000
Ru1 Ru 0.0000 0.0000 0.5000
Pt1 Pt 0.0000 0.0000 0.0000
Au1 Au 0.5000 0.5000 0.5000